1.
Material: SmZn3Ge2
Method: DFT, PBE
State: optimized geometry

Unit cell a=7.932 b=7.932 c=8.366 alpha=119.70 beta=119.70 gamma=31.10
Atoms (fractional coordinates):
Sm (0.149, 0.149, 0.223)
Sm (0.851, 0.851, 0.777)
Zn (0.075, 0.075, 0.763)
Zn (0.283, 0.283, 0.974)
Zn (0.414, 0.414, 0.513)
Zn (0.586, 0.586, 0.487)
Zn (0.717, 0.717, 0.026)
Zn (0.925, 0.925, 0.237)
Ge (0.184, 0.184, 0.615)
Ge (0.477, 0.477, 0.126)
Ge (0.523, 0.523, 0.874)
Ge (0.816, 0.816, 0.385)

* formation energy: -0.2886 eV/atom
* calculated volume: 233.1 Å³ per cell
* space-group type: C2/m (12)



2.
Material: Ac2In5Ag2
Method: DFT, PBE
State: optimized geometry

Unit cell a=4.778 b=4.778 c=10.981 alpha=90.00 beta=90.00 gamma=90.00
Atoms (fractional coordinates):
Ac (0.000, 0.000, 0.000)
Ac (0.000, 0.000, 0.500)
In (0.000, 0.500, 0.233)
In (0.000, 0.500, 0.767)
In (0.500, 0.000, 0.233)
In (0.500, 0.000, 0.767)
In (0.500, 0.500, 0.000)
Ag (0.500, 0.500, 0.378)
Ag (0.500, 0.500, 0.622)

* formation energy: -0.3116 eV/atom
* calculated volume: 250.6 Å³ per cell
* space-group type: P4/mmm (123)



3.
Material: Pm2TcAs
Method: DFT, PBE
State: optimized geometry

Unit cell a=5.073 b=5.073 c=5.073 alpha=60.00 beta=60.00 gamma=60.00
Atoms (fractional coordinates):
Pm (0.250, 0.250, 0.250)
Pm (0.750, 0.750, 0.750)
Tc (0.000, 0.000, 0.000)
As (0.500, 0.500, 0.500)

* formation energy: -0.2645 eV/atom
* calculated volume: 92.3 Å³ per cell
* space-group type: Fm-3m (225)
* offset from the most stable computed form: 121 meV per atom



4.
Material: CuSi2As
Method: DFT, PBE
State: optimized geometry

Unit cell a=5.698 b=5.698 c=4.561 alpha=113.04 beta=113.04 gamma=26.97
Atoms (fractional coordinates):
Cu (0.000, 0.000, 0.000)
Si (0.280, 0.280, 0.779)
Si (0.720, 0.720, 0.221)
As (0.500, 0.500, 0.500)

* ΔE_f (raw): 0.37 eV/atom
* calculated volume: 61.5 Å³ per cell
* space-group type: C2/m (12)
* offset from the most stable computed form: 159 meV per atom